Hg2PIr after structural relaxation, computed with PBE.

Cell and atoms, written as POSCAR:
```
Hg2PIr
1.0
-6.2791 4.0769 -4.8644
-7.8926 1.2593 -3.9789
-7.8159 3.8861 -1.8764
Ir Hg P
1 2 1
direct
0.4856 0.4856 0.4856
0.0041 0.0041 0.0041
0.2370 0.2370 0.2370
0.7733 0.7733 0.7733
```

## Properties
energy relative to the elements	-4.0	kJ per mole of atoms
N(E_F)	1.4	states/eV per cell